Below is a relaxed structure of Cs2NiSbF6, with properties calculated at the PBE with a Hubbard U level.

calculated density = 4.745 g/cm³
SG = I4/mmm, No. 139
energy = -4.23 eV/atom

Cell: 6.1421 6.1421 6.7731 Å, 63.04 63.04 90.00°
Fractional positions:
Cs  0.7500  0.2500  0.5000
Cs  0.2500  0.7500  0.5000
Sb  0.0000  0.0000  0.0000
F  0.2109  0.2109  0.5782
F  0.7891  0.7891  0.4218
F  0.2569  0.2569  0.0000
F  0.7431  0.7431  0.0000
F  0.7431  0.2569  0.0000
F  0.2569  0.7431  0.0000
Ni  0.5000  0.5000  0.0000